## NbReHRh2 (PBE)

Data for a geometry-optimized NbReHRh2 structure.

Output
The relative energy among the computed polymorphs comes out at 0.00 eV per formula unit. As for the symmetry: No. 123.

abc: 3.922 3.922 4.077
angles: 90.00 90.00 90.00
Fractional coordinates of all 5 atoms:
1 Nb 0.000 0.000 0.000
2 Re 0.500 0.500 0.000
3 H 0.500 0.500 0.500
4 Rh 0.000 0.500 0.500
5 Rh 0.500 0.000 0.500

***

## MgGaHgF2 (PBE)

Data for a geometry-optimized MgGaHgF2 structure.

Output
As for the symmetry: No. 123. The calculation puts the uncorrected formation energy at -0.62 eV per atom.

abc: 4.563 4.563 5.629
angles: 90.00 90.00 90.00
Fractional coordinates of all 5 atoms:
1 Mg 0.000 0.000 0.000
2 Ga 0.500 0.500 0.000
3 Hg 0.000 0.000 0.500
4 F 0.000 0.500 0.500
5 F 0.500 0.000 0.500

***

## CeNd2As (PBE)

Data for a geometry-optimized CeNd2As structure.

Output
The relative energy among the computed polymorphs comes out at 0.07 eV per formula unit. As for the symmetry: No. 166. The formation energy from the elements is -2.00 eV/f.u.

abc: 9.823 9.823 9.823
angles: 23.30 23.30 23.30
Fractional coordinates of all 4 atoms:
1 Ce 0.000 0.000 0.000
2 Nd 0.230 0.230 0.230
3 Nd 0.770 0.770 0.770
4 As 0.500 0.500 0.500

***

no.,ρ (g/cm3),total magnetization (μB/cell),calculated total energy (eV per atom)
1,12.86,0.0,-8.342
2,4.71,0.0,-2.357
3,6.42,1.6,-5.529